Record 1
HfTaNbAu | PBE-GGA | relaxed

Geometry as POSCAR:
```
HfTaNbAu
1.0
0.000 3.341 3.341
3.341 0.000 3.341
3.341 3.341 0.000
Hf Ta Nb Au
1 1 1 1
direct
0.000 0.000 0.000
0.500 0.500 0.500
0.250 0.250 0.250
0.750 0.750 0.750
```

Energy ... -8.86 eV per atom
Symmetry ... F-43m (216)

=====

Record 2
Sr2SiBr | PBE-GGA | relaxed

Geometry as POSCAR:
```
Sr2SiBr
1.0
5.681 0.000 0.000
0.000 5.681 0.000
0.000 0.000 3.655
Sr Si Br
2 1 1
direct
0.000 0.500 0.000
0.500 0.000 0.000
0.000 0.000 0.500
0.500 0.500 0.500
```

Energy ... -3.46 eV per atom
Symmetry ... P4/mmm (123)
E_form (uncorrected) ... -0.84 eV per atom
Excess energy over the best structure of this formula in the dataset ... 9.0 kJ/mol of atoms

=====

Record 3
KCaPuCl6 | PBE-GGA | relaxed

Geometry as POSCAR:
```
KCaPuCl6
1.0
7.225 0.000 0.000
-3.612 6.257 0.000
0.000 0.000 13.457
K Ca Pu Cl
2 2 2 12
direct
0.000 0.000 0.000
0.000 0.000 0.500
0.333 0.667 0.250
0.667 0.333 0.750
0.333 0.667 0.750
0.667 0.333 0.250
0.003 0.367 0.639
0.003 0.636 0.861
0.364 0.367 0.861
0.364 0.997 0.639
0.367 0.003 0.139
0.367 0.364 0.361
0.633 0.636 0.639
0.633 0.997 0.861
0.636 0.003 0.361
0.636 0.633 0.139
0.997 0.364 0.139
0.997 0.633 0.361
```

Energy ... -5.27 eV per atom
Symmetry ... P-31c (163)
E_form (uncorrected) ... -2.11 eV per atom

=====

Record 4
Ca2MgCuAg | PBE-GGA | relaxed

Geometry as POSCAR:
```
Ca2MgCuAg
1.0
5.431 0.000 0.000
0.000 5.431 0.000
0.000 0.000 4.931
Ca Mg Cu Ag
2 1 1 1
direct
0.000 0.500 0.000
0.500 0.000 0.000
0.000 0.000 0.500
0.500 0.500 0.000
0.500 0.500 0.500
```

Energy ... -2.42 eV per atom
Symmetry ... P4/mmm (123)

=====

Record 5
KBaSn | PBE-GGA | relaxed

Geometry as POSCAR:
```
KBaSn
1.0
0.000 4.021 4.021
4.021 0.000 4.021
4.021 4.021 0.000
K Ba Sn
1 1 1
direct
0.000 0.000 0.000
0.250 0.250 0.250
0.750 0.750 0.750
```

Energy ... -2.31 eV per atom
Symmetry ... F-43m (216)
Excess energy over the best structure of this formula in the dataset ... 24.6 kJ/mol of atoms

=====

Record 6
Th2CoCu | PBE-GGA | relaxed

Geometry as POSCAR:
```
Th2CoCu
1.0
1.924 1.111 8.762
-1.924 1.111 8.762
0.000 -2.221 8.762
Th Co Cu
2 1 1
direct
0.108 0.108 0.108
0.892 0.892 0.892
0.500 0.500 0.500
0.000 0.000 0.000
```

Energy ... -6.18 eV per atom
Symmetry ... R-3m (166)
Excess energy over the best structure of this formula in the dataset ... 52.9 kJ/mol of atoms

=====

Record 7
Li5MnGa6 | PBE-GGA | relaxed

Geometry as POSCAR:
```
Li5MnGa6
1.0
4.028 0.000 0.000
0.000 7.478 0.000
-2.011 0.000 6.060
Li Mn Ga
5 1 6
direct
0.000 0.000 0.000
0.331 0.000 0.663
0.334 0.500 0.666
0.666 0.500 0.334
0.669 0.000 0.337
0.000 0.500 0.000
0.164 0.256 0.331
0.164 0.744 0.331
0.500 0.264 0.000
0.500 0.736 0.000
0.836 0.256 0.669
0.836 0.744 0.669
```

Energy ... -3.31 eV per atom
Symmetry ... P2/m (10)

=====

Which of these has the lowest energy? HfTaNbAu